# 1
# TaP3Ir, optimized geometry, DFT GGA-PBE
data_TaP3Ir
_space_group_name_H-M_alt 'P m -3 m'
_space_group_IT_number 221
_space_group_name_Hall '-P 4 2 3'
_cell_length_a 4.5613
_cell_length_b 4.5613
_cell_length_c 4.5613
_cell_angle_alpha 90.00
_cell_angle_beta 90.00
_cell_angle_gamma 90.00
loop_
_atom_site_label
_atom_site_fract_x
_atom_site_fract_y
_atom_site_fract_z
Ta1 0.0000 0.0000 0.0000
P1 0.0000 0.5000 0.5000
Ir1 0.5000 0.5000 0.5000
# Formation enthalpy at 0 K = 1026 meV per atom
# Theoretical density = 8.16 g/cm3
# Excess energy over the best structure of this formula in the dataset = 0.0 meV/atom

# 2
# AlInS2, optimized geometry, DFT GGA-PBE
data_AlInS2
_space_group_name_H-M_alt 'P 3 m 1'
_space_group_IT_number 156
_space_group_name_Hall 'P 3 -2"'
_cell_length_a 3.5533
_cell_length_b 3.5533
_cell_length_c 8.3195
_cell_angle_alpha 90.00
_cell_angle_beta 90.00
_cell_angle_gamma 120.00
loop_
_atom_site_label
_atom_site_fract_x
_atom_site_fract_y
_atom_site_fract_z
Al1 0.0000 0.0000 0.0000
In1 0.3333 0.6667 0.4279
S1 0.3333 0.6667 0.8599
S2 0.6667 0.3333 0.1828
# Raw total energy = -4.405 eV per atom
# Theoretical density = 3.76 g/cm3

# 3
# Pt4Se, optimized geometry, DFT GGA-PBE
data_Pt4Se
_space_group_name_H-M_alt 'I m -3 m'
_space_group_IT_number 229
_space_group_name_Hall '-I 4 2 3'
_cell_length_a 5.6972
_cell_length_b 5.6972
_cell_length_c 5.6972
_cell_angle_alpha 90.00
_cell_angle_beta 90.00
_cell_angle_gamma 90.00
loop_
_atom_site_label
_atom_site_fract_x
_atom_site_fract_y
_atom_site_fract_z
Pt1 0.2500 0.2500 0.2500
Se1 0.0000 0.0000 0.0000
# Raw total energy = -5.195 eV per atom
# Theoretical density = 15.43 g/cm3

# 4
# LiNdGaPb, optimized geometry, DFT GGA-PBE
data_LiNdGaPb
_space_group_name_H-M_alt 'F -4 3 m'
_space_group_IT_number 216
_space_group_name_Hall 'F -4 2 3'
_cell_length_a 7.3406
_cell_length_b 7.3406
_cell_length_c 7.3406
_cell_angle_alpha 90.00
_cell_angle_beta 90.00
_cell_angle_gamma 90.00
loop_
_atom_site_label
_atom_site_fract_x
_atom_site_fract_y
_atom_site_fract_z
Li1 0.0000 0.0000 0.0000
Nd1 0.0000 0.0000 0.5000
Ga1 0.2500 0.2500 0.2500
Pb1 0.2500 0.2500 0.7500
# Formation enthalpy at 0 K = -350 meV per atom
# Theoretical density = 7.19 g/cm3